Entry 1:
Rb4ZrTe4 | GGA-PBE | optimized geometry

Properties
M_tot (μB/cell): 0.00
V (Å³ per cell): 863

abc: 7.9866 10.3925 10.3925
angles: 90.00 90.00 90.00
Closest atoms and distances in Å follow each position.
Element x y z (fractional)
Rb: 0.6590 0.9997 0.7254  5 Te 3.75-3.83, 1 Zr 3.94
Rb: 0.3410 0.7254 0.0003  5 Te 3.75-3.83, 1 Zr 3.94
Rb: 0.1590 0.7746 0.4997  5 Te 3.75-3.83, 1 Zr 3.94
Rb: 0.8410 0.4997 0.2254  5 Te 3.75-3.83, 1 Zr 3.94
Rb: 0.3410 0.2746 0.9997  5 Te 3.75-3.83, 1 Zr 3.94
Rb: 0.1590 0.2254 0.5003  5 Te 3.75-3.83, 1 Zr 3.94
Rb: 0.8410 0.5003 0.7746  5 Te 3.75-3.83, 1 Zr 3.94
Rb: 0.6590 0.0003 0.2746  5 Te 3.75-3.83, 1 Zr 3.94
Zr: 0.5000 0.5000 0.5000  4 Te 2.76
Zr: 0.0000 0.0000 0.0000  4 Te 2.76
Te: 0.8050 0.2191 0.9997  1 Zr 2.76
Te: 0.1950 0.0003 0.2191  1 Zr 2.76
Te: 0.3050 0.5003 0.7191  1 Zr 2.76
Te: 0.6950 0.2809 0.5003  1 Zr 2.76
Te: 0.6950 0.7191 0.4997  1 Zr 2.76
Te: 0.3050 0.4997 0.2809  1 Zr 2.76
Te: 0.8050 0.7809 0.0003  1 Zr 2.76
Te: 0.1950 0.9997 0.7809  1 Zr 2.76

***

Entry 2:
Rb3ZrTe3 | GGA-PBE | optimized geometry

Properties
M_tot (μB/cell): 0.00
V (Å³ per cell): 1270

abc: 9.1378 9.5615 14.8436
angles: 90.00 90.00 101.63
Closest atoms and distances in Å follow each position.
Element x y z (fractional)
Rb: 0.2414 0.5989 0.0666  5 Te 3.60-4.01
Rb: 0.7998 0.9166 0.6882  4 Te 3.62-3.86
Rb: 0.2002 0.0834 0.3118  4 Te 3.62-3.86
Rb: 0.7586 0.4011 0.9334  5 Te 3.60-4.01
Rb: 0.3798 0.9770 0.8611  4 Te 3.65-3.76
Rb: 0.8798 0.4770 0.6389  4 Te 3.65-3.76
Rb: 0.2998 0.4166 0.8118  4 Te 3.62-3.86
Rb: 0.7414 0.0989 0.4334  5 Te 3.60-4.01
Rb: 0.6202 0.0230 0.1389  4 Te 3.65-3.76
Rb: 0.7002 0.5834 0.1882  4 Te 3.62-3.86
Rb: 0.1202 0.5230 0.3611  4 Te 3.65-3.76
Rb: 0.2586 0.9011 0.5666  5 Te 3.60-4.01
Te: 0.9702 0.1344 0.8745  2 Zr 2.83
Te: 0.4463 0.8121 0.3352  1 Zr 2.81
Te: 0.8929 0.7591 0.4606  1 Zr 2.80
Te: 0.1071 0.2409 0.5394  1 Zr 2.80
Te: 0.0537 0.6879 0.8352  1 Zr 2.81
Te: 0.0298 0.8656 0.1255  2 Zr 2.83
Te: 0.3929 0.2591 0.0394  1 Zr 2.80
Te: 0.6071 0.7409 0.9606  1 Zr 2.80
Te: 0.5298 0.3656 0.3745  2 Zr 2.83
Te: 0.4702 0.6344 0.6255  2 Zr 2.83
Te: 0.5537 0.1879 0.6648  1 Zr 2.81
Te: 0.9463 0.3121 0.1648  1 Zr 2.81
Zr: 0.9130 0.8556 0.9488  4 Te 2.80-2.83
Zr: 0.0870 0.1444 0.0512  4 Te 2.80-2.83
Zr: 0.4130 0.3556 0.5512  4 Te 2.80-2.83
Zr: 0.5870 0.6444 0.4488  4 Te 2.80-2.83

***

no.,formation energy from raw total energies (eV/atom)
1,-1.050
2,-0.987